Compound: K2Sn2F5
Source: Alexandria
Functional: GGA-PBE
Structure: relaxed

a b c (Å): 6.927 6.140 10.068
angles (deg): 107.75 110.12 90.00
Atoms (fractional coordinates):
K 0.081 0.656 0.275
K 0.919 0.381 0.725
K 0.694 0.156 0.275
K 0.306 0.881 0.725
Sn 0.000 0.974 0.000
Sn 0.500 0.474 0.000
Sn 0.382 0.265 0.500
Sn 0.618 0.765 0.500
F 0.272 0.673 0.907
F 0.728 0.766 0.093
F 0.135 0.173 0.907
F 0.865 0.266 0.093
F 0.264 0.132 0.237
F 0.736 0.896 0.763
F 0.472 0.632 0.237
F 0.528 0.396 0.763
F 0.900 0.593 0.500
F 0.100 0.093 0.500

raw formation energy: -2.261 eV/atom
volume: 190.16 Å³/f.u.


Compound: KSn3F
Source: Alexandria
Functional: GGA-PBE
Structure: relaxed

a b c (Å): 5.163 5.163 5.163
angles (deg): 90.00 90.00 90.00
Atoms (fractional coordinates):
K 0.500 0.500 0.500
Sn 0.000 0.500 0.000
Sn 0.000 0.000 0.500
Sn 0.500 0.000 0.000
F 0.000 0.000 0.000

raw formation energy: -0.414 eV/atom
energy relative to the lowest polymorph listed for this composition: 0.00 eV per formula unit
volume: 137.65 Å³/f.u.


Compound: KSnF6
Source: Alexandria
Functional: GGA-PBE
Structure: relaxed

a b c (Å): 5.124 5.124 5.124
angles (deg): 95.91 95.91 95.91
Last column: magnetic moment on the atom in μB.
Atoms (fractional coordinates):
K 0.000 0.000 0.000  0.00
Sn 0.500 0.500 0.500  -0.02
F 0.225 0.589 0.225  0.16
F 0.225 0.225 0.589  0.16
F 0.775 0.411 0.775  0.16
F 0.411 0.775 0.775  0.16
F 0.775 0.775 0.411  0.16
F 0.589 0.225 0.225  0.16

raw formation energy: -2.238 eV/atom
volume: 132.19 Å³/f.u.


Compound: KSnF2
Source: Alexandria
Functional: GGA-PBE
Structure: relaxed

a b c (Å): 4.771 4.771 4.771
angles (deg): 60.00 60.00 60.00
Last column: magnetic moment on the atom in μB.
Atoms (fractional coordinates):
K 0.000 0.000 0.000  0.03
Sn 0.500 0.500 0.500  0.35
F 0.250 0.250 0.250  0.03
F 0.750 0.750 0.750  0.03

raw formation energy: -1.550 eV/atom
energy relative to the lowest polymorph listed for this composition: 2.34 eV per formula unit
volume: 76.78 Å³/f.u.


Compound: K2SrSnF8
Source: Alexandria
Functional: GGA-PBE
Structure: relaxed

a b c (Å): 4.271 6.162 7.872
angles (deg): 90.00 90.00 96.27
Atoms (fractional coordinates):
K 0.500 0.500 0.753
K 0.500 0.500 0.247
Sr 0.000 0.000 0.500
Sn 0.000 0.000 0.000
F 0.078 0.801 0.199
F 0.591 0.808 0.000
F 0.922 0.199 0.199
F 0.922 0.199 0.801
F 0.409 0.192 0.000
F 0.078 0.801 0.801
F 0.497 0.770 0.500
F 0.503 0.230 0.500

raw formation energy: -2.967 eV/atom
volume: 205.93 Å³/f.u.


Compound: KTiSnF6
Source: Alexandria
Functional: GGA-PBE
Structure: relaxed

a b c (Å): 6.007 5.991 5.048
angles (deg): 89.78 89.82 58.58
Last column: magnetic moment on the atom in μB.
Atoms (fractional coordinates):
K 0.002 0.000 0.936  0.00
Ti 0.338 0.331 0.520  0.90
Sn 0.684 0.657 0.424  0.01
F 0.081 0.269 0.323  0.01
F 0.420 0.024 0.735  -0.01
F 0.571 0.439 0.715  0.01
F 0.988 0.582 0.719  0.00
F 0.252 0.619 0.296  -0.01
F 0.665 0.079 0.331  0.01

raw formation energy: -2.863 eV/atom
volume: 155.03 Å³/f.u.


Compound: KTl2SnF8
Source: Alexandria
Functional: GGA-PBE
Structure: relaxed

a b c (Å): 5.289 6.026 7.531
angles (deg): 90.00 90.00 90.11
Atoms (fractional coordinates):
K 0.000 0.000 0.500
Tl 0.500 0.500 0.760
Tl 0.500 0.500 0.240
Sn 0.000 0.000 0.000
F 0.147 0.808 0.194
F 0.696 0.802 0.000
F 0.853 0.192 0.194
F 0.853 0.192 0.806
F 0.304 0.198 0.000
F 0.147 0.808 0.806
F 0.649 0.686 0.500
F 0.351 0.314 0.500

raw formation energy: -2.263 eV/atom
volume: 240.06 Å³/f.u.


Compound: K2TlSnF8
Source: Alexandria
Functional: GGA-PBE
Structure: relaxed

a b c (Å): 4.377 6.051 7.968
angles (deg): 90.00 90.00 97.20
Atoms (fractional coordinates):
K 0.500 0.500 0.757
K 0.500 0.500 0.243
Tl 0.000 0.000 0.500
Sn 0.000 0.000 0.000
F 0.084 0.796 0.194
F 0.598 0.804 0.000
F 0.916 0.204 0.194
F 0.916 0.204 0.806
F 0.402 0.196 0.000
F 0.084 0.796 0.806
F 0.532 0.781 0.500
F 0.468 0.219 0.500

raw formation energy: -2.430 eV/atom
volume: 209.37 Å³/f.u.


Compound: KTmSnF6
Source: Alexandria
Functional: GGA-PBE
Structure: relaxed

a b c (Å): 6.263 6.263 5.235
angles (deg): 90.01 89.99 59.94
Atoms (fractional coordinates):
K 0.000 0.000 0.000
Tm 0.333 0.333 0.500
Sn 0.667 0.667 0.501
F 0.030 0.352 0.283
F 0.351 0.031 0.717
F 0.617 0.351 0.717
F 0.031 0.618 0.716
F 0.352 0.617 0.283
F 0.618 0.030 0.284

raw formation energy: -3.207 eV/atom
volume: 177.74 Å³/f.u.